Entry 1:
Sc4Cu2O: optimized geometry, PBE.

a b c (Å): 4.312 4.312 7.263
angles (deg): 72.73 72.73 90.00
Positions (direct):
Sc1 0.000 0.500 0.000
Sc2 0.817 0.817 0.365
Cu1 0.626 0.626 0.749
Sc3 0.183 0.183 0.635
Cu2 0.374 0.374 0.251
O1 0.000 0.000 0.000
Sc4 0.500 0.000 0.000

Total magnetic moment = 0.0 Bohr magnetons per cell
Energy relative to the elements, uncorrected = -920 meV/atom
ρ = 4.37 g/cm3
Space group = I4/mmm
D(E_F) = 1.605 states/eV/atom

***

Entry 2:
Tl2Te3Au: optimized geometry, PBE.

a b c (Å): 7.700 7.652 7.652
angles (deg): 114.15 90.00 90.00
Positions (direct):
Au1 0.727 0.944 0.944
Tl1 0.745 0.245 0.563
Te1 0.961 0.933 0.213
Te2 0.429 0.366 0.366
Te3 0.961 0.213 0.933
Te4 0.461 0.067 0.787
Te5 0.929 0.634 0.634
Tl2 0.745 0.563 0.245
Te6 0.461 0.787 0.067
Au2 0.227 0.056 0.056
Tl3 0.245 0.755 0.437
Tl4 0.245 0.437 0.755

Total magnetic moment = 0.0 Bohr magnetons per cell
Energy relative to the elements, uncorrected = -105 meV/atom
ρ = 7.98 g/cm3
Space group = Cmc2_1
D(E_F) = 0.630 states/eV/atom